No. 1
First-principles (GGA-PBE) data for a relaxed EuYGeRh crystal, as listed in the Alexandria database.

```
4
Lattice="-2.593 -0.622 4.269 -3.534 -3.572 0.300 0.778 -4.078 2.846" Properties=species:S:1:pos:R:3 pbc="T T T"
Eu 0.000 0.000 0.000
Y -2.675 -4.136 3.708
Ge -1.337 -2.068 1.854
Rh -4.012 -6.204 5.561
```

Calculated values
- crystal system = cubic

No. 2
First-principles (GGA-PBE) data for a relaxed PrLuNiAg crystal, as listed in the Alexandria database.

```
4
Lattice="5.032 0.000 0.000 2.516 4.357 0.000 2.516 1.452 4.108" Properties=species:S:1:pos:R:3 pbc="T T T"
Ag 2.516 1.452 1.027
Lu 0.000 0.000 0.000
Pr 5.032 2.905 2.054
Ni 7.547 4.357 3.081
```

Calculated values
- crystal system = cubic

No. 3
First-principles (GGA-PBE) data for a relaxed BaMg2Cr crystal, as listed in the Alexandria database.

```
4
Lattice="5.308 0.000 0.000 0.000 4.785 0.000 0.000 0.000 4.785" Properties=species:S:1:pos:R:3 pbc="T T T"
Ba 2.654 2.393 0.000
Mg 0.000 0.000 0.000
Mg 0.000 2.393 2.393
Cr 2.654 0.000 2.393
```

Calculated values
- crystal system = tetragonal
- excess energy over the best structure of this formula in the dataset (meV/atom) = 173

No. 4
First-principles (GGA-PBE) data for a relaxed Tl3InTc crystal, as listed in the Alexandria database.

```
5
Lattice="-5.280 -0.447 -0.792 0.453 -5.339 -0.012 -0.788 -0.079 5.299" Properties=species:S:1:pos:R:3 pbc="T T T"
In -2.808 -2.932 2.247
Tl 0.227 -2.669 -0.006
Tl -2.640 -0.223 -0.396
Tl -0.394 -0.040 2.650
Tc 0.000 0.000 0.000
```

Calculated values
- crystal system = cubic
- excess energy over the best structure of this formula in the dataset (meV/atom) = 0

No. 5
First-principles (GGA-PBE) data for a relaxed RbLiCdSb2 crystal, as listed in the Alexandria database.

```
5
Lattice="-3.487 1.155 -3.523 1.975 -3.515 -3.107 -2.867 -2.857 5.578" Properties=species:S:1:pos:R:3 pbc="T T T"
Li -3.555 -1.441 -0.630
Sb -1.653 -2.178 -2.755
Rb 0.000 0.000 0.000
Sb -2.727 -3.038 1.703
Cd -0.824 -3.776 -0.422
```

Calculated values
- crystal system = tetragonal
- E_form (uncorrected) (eV/f.u.) = -2.0

No. 6
First-principles (GGA-PBE) data for a relaxed Cr2CdRu crystal, as listed in the Alexandria database.

```
4
Lattice="4.663 0.002 0.000 1.027 4.548 0.000 -2.845 -2.275 2.911" Properties=species:S:1:pos:R:3 pbc="T T T"
Ru 0.513 2.274 1.455
Cd 2.331 0.001 1.455
Cr 2.845 2.275 0.000
Cr 0.000 0.000 0.000
```

Calculated values
- crystal system = tetragonal

No. 7
First-principles (GGA-PBE) data for a relaxed TlZnF2 crystal, as listed in the Alexandria database.

```
4
Lattice="-3.688 6.437 2.213 -0.978 6.610 3.908 -1.034 7.622 0.872" Properties=species:S:1:pos:R:3 pbc="T T T"
Zn -2.850 10.334 3.496
F -5.003 18.142 6.138
Tl 0.000 0.000 0.000
F -0.697 2.527 0.855
```

Calculated values
- crystal system = trigonal
- E_form (uncorrected) (eV/f.u.) = -6.3
- excess energy over the best structure of this formula in the dataset (meV/atom) = 0

No. 8
First-principles (GGA-PBE) data for a relaxed AcHfCd2 crystal, as listed in the Alexandria database.

```
4
Lattice="-0.924 -3.074 0.825 -0.008 -2.398 -2.287 11.120 -4.513 2.293" Properties=species:S:1:pos:R:3 pbc="T T T"
Cd 1.917 -6.142 -0.769
Cd 8.271 -3.843 1.600
Hf 0.000 0.000 0.000
Ac 5.094 -4.993 0.416
```

Calculated values
- crystal system = trigonal

Q: Which electronic total energy values were calculated for the entries above? A: -7.73, -4.74, -3.18, -3.61, -2.80, -6.84, -3.43, -3.49, in eV per atom.